(1)
Entry from the Alexandria database: a relaxed SrScMo3 crystal (PBE-GGA).

Cell: 4.8613 4.8613 4.8613 Å, 90.00 90.00 90.00°
Fractional coordinates of all 5 atoms:
Sr 0.0000 0.0000 0.0000
Sc 0.5000 0.5000 0.5000
Mo 0.0000 0.5000 0.5000
Mo 0.5000 0.0000 0.5000
Mo 0.5000 0.5000 0.0000

Values from the calculation:
As for the symmetry: No. 221. The calculation puts the volume at 115 Å³ per cell. The energy of formation from the pure elements is 1.7280 eV per atom. The value obtained for the total energy is -6.37 eV per atom.

(2)
Entry from the Alexandria database: a relaxed Hf2Nb2Al7 crystal (PBE-GGA).

Cell: 6.6534 6.6534 4.6962 Å, 101.97 101.97 85.44°
Fractional coordinates of all 11 atoms:
Hf 0.1979 0.8021 0.0000
Hf 0.8021 0.1979 0.0000
Nb 0.2543 0.2543 0.1967
Nb 0.7457 0.7457 0.8033
Al 0.0000 0.0000 0.5000
Al 0.0323 0.3986 0.7036
Al 0.3986 0.0323 0.7036
Al 0.4411 0.4411 0.7306
Al 0.5589 0.5589 0.2694
Al 0.6014 0.9677 0.2964
Al 0.9677 0.6014 0.2964

Values from the calculation:
As for the symmetry: No. 12. The calculation puts the volume at 199 Å³ per cell. The energy of formation from the pure elements is -0.1237 eV per atom. The value obtained for the total energy is -6.15 eV per atom.

(3)
Entry from the Alexandria database: a relaxed K2Cd3Sb2 crystal (PBE-GGA).

Cell: 6.6472 6.6472 8.0032 Å, 112.12 112.12 42.06°
Fractional coordinates of all 7 atoms:
K 0.1482 0.1482 0.2830
K 0.8518 0.8518 0.7170
Cd 0.3989 0.3989 0.0526
Cd 0.5000 0.5000 0.5000
Cd 0.6011 0.6011 0.9474
Sb 0.1488 0.1488 0.7488
Sb 0.8512 0.8512 0.2512

Values from the calculation:
As for the symmetry: No. 12. The calculation puts the volume at 217 Å³ per cell. The value obtained for the total energy is -2.11 eV per atom.

(4)
Entry from the Alexandria database: a relaxed La3PrInRu crystal (PBE-GGA).

Cell: 9.1761 9.1761 6.2235 Å, 109.69 109.69 49.19°
Fractional coordinates of all 12 atoms:
La 0.1291 0.6350 0.8831
La 0.1815 0.1815 0.6798
La 0.3650 0.8709 0.1169
La 0.6350 0.1291 0.8831
La 0.8185 0.8185 0.3202
La 0.8709 0.3650 0.1169
Pr 0.2993 0.7007 0.5000
Pr 0.7007 0.2993 0.5000
In 0.3040 0.3040 0.3032
In 0.6960 0.6960 0.6968
Ru 0.0001 0.0001 0.2390
Ru 0.9999 0.9999 0.7610

Values from the calculation:
As for the symmetry: No. 12. The calculation puts the volume at 368 Å³ per cell. The energy of formation from the pure elements is -0.3098 eV per atom. The value obtained for the total energy is -5.57 eV per atom.

(5)
Entry from the Alexandria database: a relaxed SiSN crystal (PBE-GGA).

Cell: 3.9806 5.5818 6.1704 Å, 74.51 77.62 76.05°
Fractional coordinates of all 6 atoms:
Si 0.0000 0.0000 0.0000
Si 0.2749 0.4541 0.8904
S 0.4155 0.1114 0.1675
S 0.7310 0.4444 0.6257
N 0.0199 0.2866 0.8106
N 0.0713 0.7141 0.9714

Values from the calculation:
As for the symmetry: No. 1. The calculation puts the volume at 127 Å³ per cell. The value obtained for the total energy is -6.26 eV per atom.

(6)
Entry from the Alexandria database: a relaxed NaTlGe crystal (PBE-GGA).

Cell: 5.8535 5.8535 7.9311 Å, 119.88 119.88 45.62°
Fractional coordinates of all 6 atoms:
Na 0.0000 0.0000 0.0000
Na 0.2322 0.2322 0.5558
Tl 0.4047 0.4047 0.2493
Tl 0.6491 0.6491 0.8175
Ge 0.7057 0.7057 0.2546
Ge 0.9478 0.9478 0.5755

Values from the calculation:
As for the symmetry: No. 8. The calculation puts the volume at 163 Å³ per cell. The energy of formation from the pure elements is 0.0188 eV per atom. The value obtained for the total energy is -2.75 eV per atom.